Entry from Alexandria: a geometry-optimized Cd2FePbI structure (GGA-PBE).

Summary:
For the uncorrected formation energy, the calculation gives 0.9370 eV per atom. The crystal system is tetragonal.

Lattice parameters (Å, degrees): 5.9634 5.9634 4.6959 90.00 90.00 90.00
Space group P4/mmm (No. 123)
Unique sites:
Cd 0.0000 0.5000 0.0000 x2
Fe 0.0000 0.0000 0.5000 x1
Pb 0.5000 0.5000 0.5000 x1
I 0.0000 0.0000 0.0000 x1

=====

Entry from Alexandria: a geometry-optimized Cd2FeRuI structure (GGA-PBE).

Summary:
For the uncorrected formation energy, the calculation gives 1.7372 eV per atom. The crystal system is tetragonal.

Lattice parameters (Å, degrees): 5.6528 5.6528 4.8695 90.00 90.00 90.00
Space group P4/mmm (No. 123)
Unique sites:
Cd 0.0000 0.5000 0.0000 x2
Fe 0.0000 0.0000 0.5000 x1
Ru 0.5000 0.5000 0.5000 x1
I 0.5000 0.5000 0.0000 x1

=====

Q: Number 2 is which compound?
A: Cd2FeRuI